*w*
Below is a geometry-optimized CuHPdAu2 structure, with properties calculated at the PBE-GGA level.

Output
Crystal system: tetragonal
M_tot in μB per formula unit: 0.00
Theoretical density in g/cm³: 13.9

Cell lengths 4.254, 4.254, 3.742 Å; angles 90.00, 90.00, 90.00 degrees
Space group P4/mmm (No. 123)
Unique sites:
Cu (0.000, 0.000, 0.000) (multiplicity 1)
H (0.500, 0.500, 0.500) (multiplicity 1)
Pd (0.500, 0.500, 0.000) (multiplicity 1)
Au (0.000, 0.500, 0.500) (multiplicity 2)

=====

*x*
Below is a geometry-optimized CuHPdAu2 structure, with properties calculated at the PBE-GGA level.

Output
Crystal system: tetragonal
M_tot in μB per formula unit: 0.00
Theoretical density in g/cm³: 14.0

Cell lengths 4.130, 4.130, 3.928 Å; angles 90.00, 90.00, 90.00 degrees
Space group P4/mmm (No. 123)
Unique sites:
Cu (0.000, 0.000, 0.000) (multiplicity 1)
H (0.000, 0.000, 0.500) (multiplicity 1)
Pd (0.500, 0.500, 0.000) (multiplicity 1)
Au (0.000, 0.500, 0.500) (multiplicity 2)

=====

In terms of stability, *w* leads; the second structure lies 75 meV/atom higher.

=====

*w*
Below is a geometry-optimized CuHPd2Au structure, with properties calculated at the PBE-GGA level.

Output
Crystal system: tetragonal
M_tot in μB per formula unit: 0.00
Theoretical density in g/cm³: 12.2

Cell lengths 3.959, 3.959, 4.116 Å; angles 90.00, 90.00, 90.00 degrees
Space group P4/mmm (No. 123)
Unique sites:
Cu (0.000, 0.000, 0.000) (multiplicity 1)
H (0.500, 0.500, 0.500) (multiplicity 1)
Pd (0.000, 0.500, 0.500) (multiplicity 2)
Au (0.500, 0.500, 0.000) (multiplicity 1)

=====

*x*
Below is a geometry-optimized CuHPd2Au structure, with properties calculated at the PBE-GGA level.

Output
Crystal system: tetragonal
M_tot in μB per formula unit: 0.00
Theoretical density in g/cm³: 12.3

Cell lengths 3.987, 3.987, 4.014 Å; angles 90.00, 90.00, 90.00 degrees
Space group P4/mmm (No. 123)
Unique sites:
Cu (0.000, 0.000, 0.000) (multiplicity 1)
H (0.000, 0.000, 0.500) (multiplicity 1)
Pd (0.000, 0.500, 0.500) (multiplicity 2)
Au (0.500, 0.500, 0.000) (multiplicity 1)

=====

In terms of stability, *x* leads; the second structure lies 55 meV/atom higher.

=====

*w*
Below is a geometry-optimized Ti2CuHAu structure, with properties calculated at the PBE-GGA level.

Output
Crystal system: tetragonal
M_tot in μB per formula unit: 0.00
Theoretical density in g/cm³: 9.2

Cell lengths 3.996, 3.996, 4.027 Å; angles 90.00, 90.00, 90.00 degrees
Space group P4/mmm (No. 123)
Unique sites:
Ti (0.000, 0.500, 0.000) (multiplicity 2)
Cu (0.000, 0.000, 0.500) (multiplicity 1)
H (0.000, 0.000, 0.000) (multiplicity 1)
Au (0.500, 0.500, 0.500) (multiplicity 1)

=====

*x*
Below is a geometry-optimized Ti2CuHAu structure, with properties calculated at the PBE-GGA level.

Output
Crystal system: tetragonal
M_tot in μB per formula unit: 0.00
Theoretical density in g/cm³: 9.1

Cell lengths 3.933, 3.933, 4.205 Å; angles 90.00, 90.00, 90.00 degrees
Space group P4/mmm (No. 123)
Unique sites:
Ti (0.000, 0.500, 0.000) (multiplicity 2)
Cu (0.000, 0.000, 0.500) (multiplicity 1)
H (0.500, 0.500, 0.000) (multiplicity 1)
Au (0.500, 0.500, 0.500) (multiplicity 1)

=====

In terms of stability, *w* leads; the second structure lies 107 meV/atom higher.

=====

*w*
Below is a geometry-optimized ZnCu2HAu structure, with properties calculated at the PBE-GGA level.

Output
Crystal system: tetragonal
M_tot in μB per formula unit: 0.00
Theoretical density in g/cm³: 11.0

Cell lengths 3.756, 3.756, 4.183 Å; angles 90.00, 90.00, 90.00 degrees
Space group P4/mmm (No. 123)
Unique sites:
Zn (0.000, 0.000, 0.000) (multiplicity 1)
Cu (0.000, 0.500, 0.500) (multiplicity 2)
H (0.000, 0.000, 0.500) (multiplicity 1)
Au (0.500, 0.500, 0.000) (multiplicity 1)

=====

*x*
Below is a geometry-optimized ZnCu2HAu structure, with properties calculated at the PBE-GGA level.

Output
Crystal system: tetragonal
M_tot in μB per formula unit: 0.00
Theoretical density in g/cm³: 10.8

Cell lengths 3.785, 3.785, 4.188 Å; angles 90.00, 90.00, 90.00 degrees
Space group P4/mmm (No. 123)
Unique sites:
Zn (0.000, 0.000, 0.000) (multiplicity 1)
Cu (0.000, 0.500, 0.500) (multiplicity 2)
H (0.500, 0.500, 0.500) (multiplicity 1)
Au (0.500, 0.500, 0.000) (multiplicity 1)

=====

In terms of stability, *w* leads; the second structure lies 67 meV/atom higher.

=====

*w*
Below is a geometry-optimized ZnCuHAu2 structure, with properties calculated at the PBE-GGA level.

Output
Crystal system: tetragonal
M_tot in μB per formula unit: 0.00
Theoretical density in g/cm³: 13.1

Cell lengths 4.445, 4.445, 3.374 Å; angles 90.00, 90.00, 90.00 degrees
Space group P4/mmm (No. 123)
Unique sites:
Zn (0.000, 0.000, 0.000) (multiplicity 1)
Cu (0.500, 0.500, 0.000) (multiplicity 1)
H (0.500, 0.500, 0.500) (multiplicity 1)
Au (0.000, 0.500, 0.500) (multiplicity 2)

=====

*x*
Below is a geometry-optimized ZnCuHAu2 structure, with properties calculated at the PBE-GGA level.

Output
Crystal system: tetragonal
M_tot in μB per formula unit: 0.89
Theoretical density in g/cm³: 7.9

Cell lengths 4.888, 4.888, 4.623 Å; angles 90.00, 90.00, 90.00 degrees
Space group P4/mmm (No. 123)
Unique sites:
Zn (0.000, 0.000, 0.000) (multiplicity 1)
Cu (0.000, 0.000, 0.500) (multiplicity 1)
H (0.500, 0.500, 0.500) (multiplicity 1)
Au (0.000, 0.500, 0.000) (multiplicity 2)

=====

In terms of stability, *w* leads; the second structure lies 926 meV/atom higher.

=====

*w*
Below is a geometry-optimized Zr2CuHAu structure, with properties calculated at the PBE-GGA level.

Output
Crystal system: tetragonal
M_tot in μB per formula unit: 0.00
Theoretical density in g/cm³: 9.6

Cell lengths 4.363, 4.363, 4.033 Å; angles 90.00, 90.00, 90.00 degrees
Space group P4/mmm (No. 123)
Unique sites:
Zr (0.000, 0.500, 0.000) (multiplicity 2)
Cu (0.000, 0.000, 0.500) (multiplicity 1)
H (0.000, 0.000, 0.000) (multiplicity 1)
Au (0.500, 0.500, 0.500) (multiplicity 1)

=====

*x*
Below is a geometry-optimized Zr2CuHAu structure, with properties calculated at the PBE-GGA level.

Output
Crystal system: tetragonal
M_tot in μB per formula unit: 0.00
Theoretical density in g/cm³: 9.5

Cell lengths 4.296, 4.296, 4.204 Å; angles 90.00, 90.00, 90.00 degrees
Space group P4/mmm (No. 123)
Unique sites:
Zr (0.000, 0.500, 0.000) (multiplicity 2)
Cu (0.000, 0.000, 0.500) (multiplicity 1)
H (0.500, 0.500, 0.000) (multiplicity 1)
Au (0.500, 0.500, 0.500) (multiplicity 1)

=====

In terms of stability, *w* leads; the second structure lies 104 meV/atom higher.

=====

*w*
Below is a geometry-optimized HfCu2Au2 structure, with properties calculated at the PBE-GGA level.

Output
Crystal system: tetragonal
M_tot in μB per formula unit: 0.00
Theoretical density in g/cm³: 13.5

Cell lengths 3.576, 3.576, 13.473 Å; angles 90.00, 90.00, 90.00 degrees
Space group I4/mmm (No. 139)
Unique sites:
Hf (0.000, 0.000, 0.000) (multiplicity 2)
Cu (0.000, 0.500, 0.250) (multiplicity 4)
Au (0.000, 0.000, 0.396) (multiplicity 4)

=====

*x*
Below is a geometry-optimized HfCu2Au2 structure, with properties calculated at the PBE-GGA level.

Output
Crystal system: monoclinic
M_tot in μB per formula unit: 0.00
Theoretical density in g/cm³: 14.6

Cell lengths 7.870, 4.478, 5.280 Å; angles 90.00, 120.93, 90.00 degrees
Space group C2/m (No. 12)
Unique sites:
Hf (0.000, 0.000, 0.000) (multiplicity 2)
Cu (0.088, 0.500, 0.769) (multiplicity 4)
Au (0.215, 0.000, 0.646) (multiplicity 4)

=====

*y*
Below is a geometry-optimized HfCu2Au2 structure, with properties calculated at the PBE-GGA level.

Output
Crystal system: tetragonal
M_tot in μB per formula unit: 0.00
Theoretical density in g/cm³: 13.8

Cell lengths 7.258, 7.258, 3.202 Å; angles 90.00, 90.00, 90.00 degrees
Space group P4/mbm (No. 127)
Unique sites:
Hf (0.000, 0.000, 0.000) (multiplicity 2)
Cu (0.164, 0.336, 0.500) (multiplicity 4)
Au (0.136, 0.636, 0.000) (multiplicity 4)

=====

*z*
Below is a geometry-optimized HfCu2Au2 structure, with properties calculated at the PBE-GGA level.

Output
Crystal system: tetragonal
M_tot in μB per formula unit: 0.00
Theoretical density in g/cm³: 14.3

Cell lengths 7.367, 7.367, 2.999 Å; angles 90.00, 90.00, 90.00 degrees
Space group P4/mbm (No. 127)
Unique sites:
Hf (0.000, 0.000, 0.000) (multiplicity 2)
Cu (0.118, 0.382, 0.000) (multiplicity 4)
Au (0.180, 0.680, 0.500) (multiplicity 4)

=====

In terms of stability, *x* leads; the second structure lies 123 meV/atom higher.

=====

*w*
Below is a geometry-optimized HfCuAu3 structure, with properties calculated at the PBE-GGA level.

Output
Crystal system: cubic
M_tot in μB per formula unit: 0.00
Theoretical density in g/cm³: 9.8

Cell lengths 5.203, 5.203, 5.203 Å; angles 90.00, 90.00, 90.00 degrees
Space group Pm-3m (No. 221)
Unique sites:
Hf (0.000, 0.000, 0.000) (multiplicity 1)
Cu (0.500, 0.500, 0.500) (multiplicity 1)
Au (0.000, 0.000, 0.500) (multiplicity 3)

=====

*x*
Below is a geometry-optimized HfCuAu3 structure, with properties calculated at the PBE-GGA level.

Output
Crystal system: monoclinic
M_tot in μB per formula unit: 0.00
Theoretical density in g/cm³: 14.9

Cell lengths 4.836, 7.424, 5.160 Å; angles 90.00, 91.58, 90.00 degrees
Space group P2_1/m (No. 11)
Unique sites:
Hf (0.170, 0.250, 0.268) (multiplicity 2)
Cu (0.353, 0.750, 0.988) (multiplicity 2)
Au (0.172, 0.060, 0.782) (multiplicity 4)
Au (0.337, 0.750, 0.470) (multiplicity 2)

=====

In terms of stability, *x* leads; the second structure lies 1105 meV/atom higher.

=====

*w*
Below is a geometry-optimized Hf2CuAu2 structure, with properties calculated at the PBE-GGA level.

Output
Crystal system: tetragonal
M_tot in μB per formula unit: 0.00
Theoretical density in g/cm³: 13.5

Cell lengths 7.528, 7.528, 3.547 Å; angles 90.00, 90.00, 90.00 degrees
Space group P4/mbm (No. 127)
Unique sites:
Hf (0.166, 0.334, 0.000) (multiplicity 4)
Cu (0.000, 0.000, 0.000) (multiplicity 2)
Au (0.136, 0.636, 0.500) (multiplicity 4)

=====

*x*
Below is a geometry-optimized Hf2CuAu2 structure, with properties calculated at the PBE-GGA level.

Output
Crystal system: tetragonal
M_tot in μB per formula unit: 0.75
Theoretical density in g/cm³: 13.1

Cell lengths 3.713, 3.713, 14.981 Å; angles 90.00, 90.00, 90.00 degrees
Space group I4/mmm (No. 139)
Unique sites:
Hf (0.000, 0.000, 0.098) (multiplicity 4)
Cu (0.000, 0.000, 0.500) (multiplicity 2)
Au (0.000, 0.500, 0.250) (multiplicity 4)

=====

*y*
Below is a geometry-optimized Hf2CuAu2 structure, with properties calculated at the PBE-GGA level.

Output
Crystal system: tetragonal
M_tot in μB per formula unit: 0.00
Theoretical density in g/cm³: 14.0

Cell lengths 7.284, 7.284, 3.637 Å; angles 90.00, 90.00, 90.00 degrees
Space group P4/mbm (No. 127)
Unique sites:
Hf (0.169, 0.331, 0.000) (multiplicity 4)
Cu (0.000, 0.000, 0.500) (multiplicity 2)
Au (0.136, 0.636, 0.500) (multiplicity 4)

=====

In terms of stability, *y* leads; the second structure lies 210 meV/atom higher.

=====

*w*
Below is a geometry-optimized CuHg2Au structure, with properties calculated at the PBE-GGA level.

Output
Crystal system: orthorhombic
M_tot in μB per formula unit: 0.00
Theoretical density in g/cm³: 14.5

Cell lengths 6.152, 7.389, 3.342 Å; angles 90.00, 90.00, 90.00 degrees
Space group Cmmm (No. 65)
Unique sites:
Cu (0.000, 0.000, 0.000) (multiplicity 2)
Hg (0.250, 0.250, 0.500) (multiplicity 4)
Au (0.000, 0.500, 0.000) (multiplicity 2)

=====

*x*
Below is a geometry-optimized CuHg2Au structure, with properties calculated at the PBE-GGA level.

Output
Crystal system: tetragonal
M_tot in μB per formula unit: 0.00
Theoretical density in g/cm³: 14.7

Cell lengths 3.027, 3.027, 8.182 Å; angles 90.00, 90.00, 90.00 degrees
Space group P4/mmm (No. 123)
Unique sites:
Cu (0.000, 0.000, 0.000) (multiplicity 1)
Hg (0.500, 0.500, 0.227) (multiplicity 2)
Au (0.000, 0.000, 0.500) (multiplicity 1)

=====

In terms of stability, *x* leads; the second structure lies 35 meV/atom higher.

=====

*w*
Below is a geometry-optimized Cu2Hg2Au structure, with properties calculated at the PBE-GGA level.

Output
Crystal system: tetragonal
M_tot in μB per formula unit: 0.00
Theoretical density in g/cm³: 13.0

Cell lengths 3.499, 3.499, 15.131 Å; angles 90.00, 90.00, 90.00 degrees
Space group I4/mmm (No. 139)
Unique sites:
Cu (0.000, 0.500, 0.250) (multiplicity 4)
Hg (0.000, 0.000, 0.110) (multiplicity 4)
Au (0.000, 0.000, 0.500) (multiplicity 2)

=====

*x*
Below is a geometry-optimized Cu2Hg2Au structure, with properties calculated at the PBE-GGA level.

Output
Crystal system: tetragonal
M_tot in μB per formula unit: 0.00
Theoretical density in g/cm³: 13.5

Cell lengths 6.855, 6.855, 3.793 Å; angles 90.00, 90.00, 90.00 degrees
Space group P4/mbm (No. 127)
Unique sites:
Cu (0.131, 0.369, 0.000) (multiplicity 4)
Hg (0.167, 0.667, 0.500) (multiplicity 4)
Au (0.000, 0.000, 0.000) (multiplicity 2)

=====

In terms of stability, *x* leads; the second structure lies 24 meV/atom higher.

=====

*w*
Below is a geometry-optimized CuHgAu6 structure, with properties calculated at the PBE-GGA level.

Output
Crystal system: monoclinic
M_tot in μB per formula unit: 0.00
Theoretical density in g/cm³: 16.7

Cell lengths 9.423, 3.946, 8.509 Å; angles 90.00, 114.61, 90.00 degrees
Space group C2/m (No. 12)
Unique sites:
Cu (0.000, 0.000, 0.000) (multiplicity 2)
Hg (0.000, 0.000, 0.500) (multiplicity 2)
Au (0.005, 0.500, 0.769) (multiplicity 4)
Au (0.243, 0.000, 0.366) (multiplicity 4)
Au (0.244, 0.500, 0.118) (multiplicity 4)

=====

*x*
Below is a geometry-optimized CuHgAu6 structure, with properties calculated at the PBE-GGA level.

Output
Crystal system: orthorhombic
M_tot in μB per formula unit: 0.00
Theoretical density in g/cm³: 16.7

Cell lengths 4.787, 5.899, 10.206 Å; angles 90.00, 90.00, 90.00 degrees
Space group Amm2 (No. 38)
Unique sites:
Cu (0.000, 0.000, 0.000) (multiplicity 2)
Hg (0.500, 0.000, 0.332) (multiplicity 2)
Au (0.000, 0.000, 0.502) (multiplicity 2)
Au (0.000, 0.246, 0.748) (multiplicity 4)
Au (0.500, 0.000, 0.837) (multiplicity 2)
Au (0.500, 0.243, 0.080) (multiplicity 4)

=====

In terms of stability, *w* leads; the second structure lies 25 meV/atom higher.